Record 1
Material: KPbIN2
Method: DFT, PBE
State: relaxed

Cell and atoms, written as extended XYZ:
```
5
Lattice="4.586 0.000 0.000 0.000 10.338 0.000 0.000 0.000 4.586" Properties=species:S:1:pos:R:3 pbc="T T T"
Pb 0.000 0.000 0.000
N 0.000 0.000 2.293
I 2.293 5.169 2.293
N 2.293 0.000 0.000
K 0.000 5.169 0.000
```

## Properties
- SG = P4/mmm (123)
- E (eV/atom) = -3.58
- magnetization (μB/cell) = 2.51
- ΔE_f (raw) (eV per atom) = 1.021

---

Record 2
Material: KPbIN2
Method: DFT, PBE
State: relaxed

Cell and atoms, written as extended XYZ:
```
5
Lattice="-1.383 4.735 -1.447 -1.610 -1.851 -4.518 -5.970 -0.972 2.526" Properties=species:S:1:pos:R:3 pbc="T T T"
I -2.985 -0.486 1.263
Pb -4.482 0.956 -1.719
N -0.805 -0.925 -2.259
N -0.692 2.367 -0.723
K 0.000 0.000 0.000
```

## Properties
- SG = P4/mmm (123)
- E (eV/atom) = -2.97
- magnetization (μB/cell) = 4.01
- ΔE_f (raw) (eV per atom) = 1.633

---

Record 3
Material: KPdIN2
Method: DFT, PBE
State: relaxed

Cell and atoms, written as extended XYZ:
```
5
Lattice="4.786 0.000 0.000 0.000 4.786 0.000 0.000 0.000 6.882" Properties=species:S:1:pos:R:3 pbc="T T T"
Pd 2.393 2.393 3.441
N 0.000 2.393 0.000
N 2.393 0.000 0.000
K 0.000 0.000 0.000
I 0.000 0.000 3.441
```

## Properties
- SG = P4/mmm (123)
- E (eV/atom) = -2.46
- magnetization (μB/cell) = 0.42
- ΔE_f (raw) (eV per atom) = 2.441

---

Record 4
Material: KPdIN2
Method: DFT, PBE
State: relaxed

Cell and atoms, written as extended XYZ:
```
5
Lattice="-2.023 3.669 -0.657 -5.765 -2.912 1.483 0.532 1.024 4.081" Properties=species:S:1:pos:R:3 pbc="T T T"
N 0.266 0.512 2.040
K -2.882 -1.456 0.741
N -1.011 1.835 -0.329
Pd -3.628 0.891 2.453
I 0.000 0.000 0.000
```

## Properties
- SG = P4/mmm (123)
- E (eV/atom) = -2.99
- magnetization (μB/cell) = 1.71
- ΔE_f (raw) (eV per atom) = 1.905

---

Record 5
Material: KPdIN2
Method: DFT, PBE
State: relaxed

Cell and atoms, written as extended XYZ:
```
5
Lattice="4.301 0.000 0.000 0.000 4.301 0.000 0.000 0.000 5.802" Properties=species:S:1:pos:R:3 pbc="T T T"
K 2.150 2.150 2.901
I 0.000 0.000 2.901
N 0.000 2.150 0.000
Pd 0.000 0.000 0.000
N 2.150 0.000 0.000
```

## Properties
- SG = P4/mmm (123)
- E (eV/atom) = -3.77
- magnetization (μB/cell) = 0.77
- ΔE_f (raw) (eV per atom) = 1.129

---

Record 6
Material: KPtI2N
Method: DFT, PBE
State: relaxed

Cell and atoms, written as extended XYZ:
```
5
Lattice="-0.293 -5.669 -1.962 5.377 -1.120 2.431 -1.677 -1.033 3.235" Properties=species:S:1:pos:R:3 pbc="T T T"
K 1.703 -3.911 1.852
I -0.147 -2.835 -0.981
Pt 0.000 0.000 0.000
N -0.839 -0.517 1.617
I 2.689 -0.560 1.215
```

## Properties
- SG = P4/mmm (123)
- E (eV/atom) = -3.84
- magnetization (μB/cell) = 0.00
- ΔE_f (raw) (eV per atom) = -0.127

---

Record 7
Material: KPtIN2
Method: DFT, PBE
State: relaxed

Cell and atoms, written as extended XYZ:
```
5
Lattice="4.713 0.000 0.000 0.000 4.713 0.000 0.000 0.000 6.874" Properties=species:S:1:pos:R:3 pbc="T T T"
I 0.000 0.000 3.437
N 2.357 0.000 0.000
K 0.000 0.000 0.000
N 0.000 2.357 0.000
Pt 2.357 2.357 3.437
```

## Properties
- SG = P4/mmm (123)
- E (eV/atom) = -2.73
- magnetization (μB/cell) = 5.59
- ΔE_f (raw) (eV per atom) = 2.340

---

Record 8
Material: KPtI2N
Method: DFT, PBE
State: relaxed

Cell and atoms, written as extended XYZ:
```
5
Lattice="6.186 0.000 0.000 0.000 6.186 0.000 0.000 0.000 4.367" Properties=species:S:1:pos:R:3 pbc="T T T"
N 0.000 0.000 2.183
I 0.000 3.093 0.000
I 3.093 0.000 0.000
Pt 3.093 3.093 2.183
K 0.000 0.000 0.000
```

## Properties
- SG = P4/mmm (123)
- E (eV/atom) = -1.84
- magnetization (μB/cell) = 1.07
- ΔE_f (raw) (eV per atom) = 1.873

---

Record 9
Material: KPtIN2
Method: DFT, PBE
State: relaxed

Cell and atoms, written as extended XYZ:
```
5
Lattice="-1.713 -3.907 -0.014 2.528 -1.097 -3.257 4.120 -1.820 3.810" Properties=species:S:1:pos:R:3 pbc="T T T"
Pt 0.000 0.000 0.000
K 2.467 -3.412 0.270
I 2.060 -0.910 1.905
N 1.264 -0.549 -1.629
N -0.857 -1.954 -0.007
```

## Properties
- SG = P4/mmm (123)
- E (eV/atom) = -4.15
- magnetization (μB/cell) = 3.56
- ΔE_f (raw) (eV per atom) = 0.920

---

Record 10
Material: KRb2I6N
Method: DFT, PBE
State: relaxed

Cell and atoms, written as extended XYZ:
```
10
Lattice="8.416 0.000 0.000 0.000 8.416 0.000 4.208 4.208 5.951" Properties=species:S:1:pos:R:3 pbc="T T T"
Rb 4.208 8.416 2.976
I 8.416 8.416 3.353
I 6.044 6.044 0.000
Rb 8.416 4.208 2.976
K 0.000 0.000 0.000
N 4.208 4.208 0.000
I 4.208 4.208 2.598
I 2.371 6.044 0.000
I 2.371 2.371 0.000
I 6.044 2.371 0.000
```

## Properties
- SG = Fm-3m (225)
- E (eV/atom) = -2.40
- magnetization (μB/cell) = 0.00
- ΔE_f (raw) (eV per atom) = -0.337

---

Record 11
Material: KReI2N
Method: DFT, PBE
State: relaxed

Cell and atoms, written as extended XYZ:
```
5
Lattice="6.507 0.000 0.000 0.000 6.507 0.000 0.000 0.000 5.147" Properties=species:S:1:pos:R:3 pbc="T T T"
I 0.000 3.254 0.000
I 3.254 0.000 0.000
K 0.000 0.000 0.000
Re 3.254 3.254 2.574
N 0.000 0.000 2.574
```

## Properties
- SG = P4/mmm (123)
- E (eV/atom) = -3.11
- magnetization (μB/cell) = 8.84
- ΔE_f (raw) (eV per atom) = 1.887

---

Record 12
Material: KReI2N
Method: DFT, PBE
State: relaxed

Cell and atoms, written as extended XYZ:
```
5
Lattice="-1.590 -1.621 5.363 -5.180 -1.699 -2.049 1.407 -3.512 -0.644" Properties=species:S:1:pos:R:3 pbc="T T T"
I -0.795 -0.810 2.682
Re 0.000 0.000 0.000
N 0.703 -1.756 -0.322
I -2.590 -0.849 -1.025
K -2.682 -3.416 1.335
```

## Properties
- SG = P4/mmm (123)
- E (eV/atom) = -5.09
- magnetization (μB/cell) = 0.43
- ΔE_f (raw) (eV per atom) = -0.091

---

Record 13
Material: KRhI2N
Method: DFT, PBE
State: relaxed

Cell and atoms, written as extended XYZ:
```
5
Lattice="-3.544 5.037 1.509 -4.364 -3.832 2.544 2.239 0.292 4.281" Properties=species:S:1:pos:R:3 pbc="T T T"
I -2.182 -1.916 1.272
Rh -2.835 0.749 4.167
K 0.000 0.000 0.000
I -1.772 2.519 0.754
N 1.119 0.146 2.141
```

## Properties
- SG = P4/mmm (123)
- E (eV/atom) = -2.19
- magnetization (μB/cell) = 1.58
- ΔE_f (raw) (eV per atom) = 1.783

---

Record 14
Material: KRhI2N
Method: DFT, PBE
State: relaxed

Cell and atoms, written as extended XYZ:
```
5
Lattice="-3.079 -4.382 -2.503 -0.493 -2.657 5.258 -3.199 1.878 0.649" Properties=species:S:1:pos:R:3 pbc="T T T"
I -1.540 -2.191 -1.252
Rh 0.000 0.000 0.000
K -3.386 -2.581 1.702
N -1.600 0.939 0.324
I -0.247 -1.329 2.629
```

## Properties
- SG = P4/mmm (123)
- E (eV/atom) = -4.15
- magnetization (μB/cell) = 0.00
- ΔE_f (raw) (eV per atom) = -0.179

---

Record 15
Material: KRuIN2
Method: DFT, PBE
State: relaxed

Cell and atoms, written as extended XYZ:
```
5
Lattice="-3.656 -1.618 -0.775 0.598 -2.757 2.936 -2.391 3.566 3.836" Properties=species:S:1:pos:R:3 pbc="T T T"
Ru 0.000 0.000 0.000
N -1.828 -0.809 -0.387
I -1.195 1.783 1.918
K -2.724 -0.404 2.999
N 0.299 -1.379 1.468
```

## Properties
- SG = P4/mmm (123)
- E (eV/atom) = -5.05
- magnetization (μB/cell) = 0.48
- ΔE_f (raw) (eV per atom) = 0.669

---

Record 16
Material: KRuIN2
Method: DFT, PBE
State: relaxed

Cell and atoms, written as extended XYZ:
```
5
Lattice="4.852 0.000 0.000 0.000 4.852 0.000 0.000 0.000 6.672" Properties=species:S:1:pos:R:3 pbc="T T T"
Ru 2.426 2.426 3.336
N 0.000 2.426 0.000
K 0.000 0.000 0.000
N 2.426 0.000 0.000
I 0.000 0.000 3.336
```

## Properties
- SG = P4/mmm (123)
- E (eV/atom) = -3.13
- magnetization (μB/cell) = 8.02
- ΔE_f (raw) (eV per atom) = 2.580

---

Record 17
Material: KSIN2
Method: DFT, PBE
State: relaxed

Cell and atoms, written as extended XYZ:
```
5
Lattice="4.493 0.000 0.000 0.000 4.493 0.000 0.000 0.000 5.587" Properties=species:S:1:pos:R:3 pbc="T T T"
S 0.000 0.000 0.000
K 2.246 2.246 2.794
I 0.000 0.000 2.794
N 2.246 0.000 0.000
N 0.000 2.246 0.000
```

## Properties
- SG = P4/mmm (123)
- E (eV/atom) = -3.27
- magnetization (μB/cell) = 3.25
- ΔE_f (raw) (eV per atom) = 1.414

---

Record 18
Material: KSIN2
Method: DFT, PBE
State: relaxed

Cell and atoms, written as extended XYZ:
```
5
Lattice="4.304 0.000 0.000 0.000 4.304 0.000 0.000 0.000 5.318" Properties=species:S:1:pos:R:3 pbc="T T T"
K 2.152 2.152 2.659
N 2.152 0.000 0.000
S 0.000 0.000 2.659
N 0.000 2.152 0.000
I 0.000 0.000 0.000
```

## Properties
- SG = P4/mmm (123)
- E (eV/atom) = -3.36
- magnetization (μB/cell) = 1.96
- ΔE_f (raw) (eV per atom) = 1.327

---

Record 19
Material: KSI2N
Method: DFT, PBE
State: relaxed

Cell and atoms, written as extended XYZ:
```
5
Lattice="-4.990 -3.799 -2.257 2.649 0.153 -6.114 1.816 -2.812 0.717" Properties=species:S:1:pos:R:3 pbc="T T T"
I -2.495 -1.899 -1.128
I 1.324 0.077 -3.057
N 0.908 -1.406 0.358
S 0.000 0.000 0.000
K -0.262 -3.229 -3.827
```

## Properties
- SG = P4/mmm (123)
- E (eV/atom) = -3.19
- magnetization (μB/cell) = 0.00
- ΔE_f (raw) (eV per atom) = 0.145

---

Record 20
Material: KSIN2
Method: DFT, PBE
State: relaxed

Cell and atoms, written as extended XYZ:
```
5
Lattice="-2.758 4.131 -0.758 -3.319 -1.589 3.422 3.165 2.925 4.429" Properties=species:S:1:pos:R:3 pbc="T T T"
N -1.379 2.066 -0.379
S 1.583 1.463 2.214
N -1.660 -0.794 1.711
I -1.456 2.734 3.546
K 0.000 0.000 0.000
```

## Properties
- SG = P4/mmm (123)
- E (eV/atom) = -2.62
- magnetization (μB/cell) = 5.90
- ΔE_f (raw) (eV per atom) = 2.067

---

Record 21
Material: KSI2N
Method: DFT, PBE
State: relaxed

Cell and atoms, written as extended XYZ:
```
5
Lattice="-4.032 4.219 2.439 -2.938 -4.630 3.152 2.829 0.638 3.574" Properties=species:S:1:pos:R:3 pbc="T T T"
I -1.469 -2.315 1.576
S -2.070 0.114 4.582
K 0.000 0.000 0.000
N 1.415 0.319 1.787
I -2.016 2.109 1.219
```

## Properties
- SG = P4/mmm (123)
- E (eV/atom) = -1.61
- magnetization (μB/cell) = 0.00
- ΔE_f (raw) (eV per atom) = 1.724

---

Record 22
Material: KSbI2N
Method: DFT, PBE
State: relaxed

Cell and atoms, written as extended XYZ:
```
5
Lattice="-0.373 -3.502 5.494 6.358 -1.399 -0.460 0.890 3.326 2.181" Properties=species:S:1:pos:R:3 pbc="T T T"
K 3.437 -0.787 3.607
N 0.000 0.000 0.000
Sb 0.445 1.663 1.090
I -0.187 -1.751 2.747
I 3.179 -0.700 -0.230
```

## Properties
- SG = P4/mmm (123)
- E (eV/atom) = -3.09
- magnetization (μB/cell) = 0.00
- ΔE_f (raw) (eV per atom) = 0.238

---

Record 23
Material: KSbIN2
Method: DFT, PBE
State: relaxed

Cell and atoms, written as extended XYZ:
```
5
Lattice="-3.993 0.140 -3.156 -2.984 -1.838 3.694 -1.400 6.406 2.057" Properties=species:S:1:pos:R:3 pbc="T T T"
Sb -4.188 2.354 1.297
N -1.997 0.070 -1.578
K 0.000 0.000 0.000
N -1.492 -0.919 1.847
I -0.700 3.203 1.028
```

## Properties
- SG = P4/mmm (123)
- E (eV/atom) = -2.77
- magnetization (μB/cell) = 3.64
- ΔE_f (raw) (eV per atom) = 1.913

---

Record 24
Material: KSbI2N
Method: DFT, PBE
State: relaxed

Cell and atoms, written as extended XYZ:
```
5
Lattice="-6.251 -0.247 1.202 -1.175 -0.591 -6.233 0.271 -4.872 0.411" Properties=species:S:1:pos:R:3 pbc="T T T"
I -3.126 -0.123 0.601
K 0.000 0.000 0.000
N 0.136 -2.436 0.205
I -0.587 -0.296 -3.117
Sb -3.577 -2.855 -2.310
```

## Properties
- SG = P4/mmm (123)
- E (eV/atom) = -2.32
- magnetization (μB/cell) = 2.87
- ΔE_f (raw) (eV per atom) = 1.013

---

Record 25
Material: KSbIN2
Method: DFT, PBE
State: relaxed

Cell and atoms, written as extended XYZ:
```
5
Lattice="-1.395 4.037 0.757 -2.441 -0.173 -3.582 -5.016 -2.396 3.534" Properties=species:S:1:pos:R:3 pbc="T T T"
I -2.508 -1.198 1.767
N -0.698 2.019 0.378
Sb 0.000 0.000 0.000
N -1.221 -0.086 -1.791
K -4.426 0.734 0.355
```

## Properties
- SG = P4/mmm (123)
- E (eV/atom) = -3.92
- magnetization (μB/cell) = 1.46
- ΔE_f (raw) (eV per atom) = 0.766

---

Record 26
Material: KSbI2N
Method: DFT, PBE
State: relaxed

Cell and atoms, written as extended XYZ:
```
5
Lattice="6.406 0.000 0.000 0.000 6.406 0.000 0.000 0.000 4.045" Properties=species:S:1:pos:R:3 pbc="T T T"
I 0.000 3.203 0.000
Sb 0.000 0.000 0.000
K 3.203 3.203 2.022
N 0.000 0.000 2.022
I 3.203 0.000 0.000
```

## Properties
- SG = P4/mmm (123)
- E (eV/atom) = -3.41
- magnetization (μB/cell) = 0.00
- ΔE_f (raw) (eV per atom) = -0.080

---

Record 27
Material: KSbI2N
Method: DFT, PBE
State: relaxed

Cell and atoms, written as extended XYZ:
```
5
Lattice="6.707 0.000 0.000 0.000 6.707 0.000 0.000 0.000 7.394" Properties=species:S:1:pos:R:3 pbc="T T T"
K 0.000 0.000 0.000
Sb 0.000 0.000 3.697
N 3.353 3.353 3.697
I 3.353 0.000 0.000
I 0.000 3.353 0.000
```

## Properties
- SG = P4/mmm (123)
- E (eV/atom) = -2.10
- magnetization (μB/cell) = 6.32
- ΔE_f (raw) (eV per atom) = 1.232

---

Record 28
Material: KScI2N
Method: DFT, PBE
State: relaxed

Cell and atoms, written as extended XYZ:
```
5
Lattice="6.308 0.000 0.000 0.000 6.308 0.000 0.000 0.000 4.868" Properties=species:S:1:pos:R:3 pbc="T T T"
I 0.000 3.154 0.000
N 0.000 0.000 2.434
Sc 3.154 3.154 2.434
I 3.154 0.000 0.000
K 0.000 0.000 0.000
```

## Properties
- SG = P4/mmm (123)
- E (eV/atom) = -3.03
- magnetization (μB/cell) = 1.01
- ΔE_f (raw) (eV per atom) = 0.741

---

Record 29
Material: KScI2N
Method: DFT, PBE
State: relaxed

Cell and atoms, written as extended XYZ:
```
5
Lattice="-4.111 -4.517 -0.017 2.956 -2.708 4.607 -2.287 2.071 2.685" Properties=species:S:1:pos:R:3 pbc="T T T"
I 1.478 -1.354 2.304
N -1.144 1.036 1.343
K -1.721 -2.577 3.638
Sc 0.000 0.000 0.000
I -2.055 -2.258 -0.009
```

## Properties
- SG = P4/mmm (123)
- E (eV/atom) = -4.53
- magnetization (μB/cell) = 1.01
- ΔE_f (raw) (eV per atom) = -0.764